[1]
## YHo2ScTe4 (PBE)

Data for crystalline YHo2ScTe4 at its relaxed geometry.

Properties
- Size of the total moment: 0.00 μB/atom
- Formation energy from raw total energies: -1.218 eV/atom
- Electronic total energy: -5.53 eV per atom

Lattice parameters (Å, degrees): 4.2693 7.4684 7.4915 70.99 90.00 90.00
With the nearest neighbours (Å) after each atom.
Sites, in units of the cell vectors:
Te (0.5000, 0.7474, 0.2442)  1 Sc 2.99, 3 Ho 3.04-3.10, 2 Y 3.06
Te (0.5000, 0.2526, 0.7558)  1 Sc 2.99, 3 Ho 3.04-3.10, 2 Y 3.06
Te (0.0000, 0.2575, 0.2409)  2 Sc 2.99, 3 Ho 3.04-3.10, 1 Y 3.06
Te (0.0000, 0.7425, 0.7591)  2 Sc 2.99, 3 Ho 3.04-3.10, 1 Y 3.06
Ho (0.0000, 0.0000, 0.0000)  6 Te 3.04
Ho (0.5000, 0.0000, 0.5000)  6 Te 3.10
Sc (0.5000, 0.5000, 0.0000)  6 Te 2.99
Y (0.0000, 0.5000, 0.5000)  6 Te 3.06

[2]
## MgTc2Ni (PBE)

Data for crystalline MgTc2Ni at its relaxed geometry.

Properties
- Size of the total moment: 0.28 μB/atom
- Electronic total energy: -6.91 eV per atom

Lattice parameters (Å, degrees): 4.3101 4.3101 4.3101 60.00 60.00 60.00
With the nearest neighbours (Å) after each atom.
Sites, in units of the cell vectors:
Mg (0.5000, 0.5000, 0.5000)  4 Tc 2.64, 4 Ni 2.64
Ni (0.2500, 0.2500, 0.2500)  4 Mg 2.64, 4 Tc 2.64
Tc (0.0000, 0.0000, 0.0000)  4 Ni 2.64, 4 Tc 2.64
Tc (0.7500, 0.7500, 0.7500)  4 Mg 2.64, 4 Tc 2.64

[3]
## ZnGe3Au (PBE)

Data for crystalline ZnGe3Au at its relaxed geometry.

Properties
- Size of the total moment: 0.00 μB/atom
- Electronic total energy: -2.99 eV per atom

Lattice parameters (Å, degrees): 5.0625 5.0625 5.0625 90.00 90.00 90.00
With the nearest neighbours (Å) after each atom.
Sites, in units of the cell vectors:
Ge (0.0000, 0.0000, 0.5000)  2 Au 2.53
Ge (0.5000, 0.0000, 0.0000)  2 Au 2.53
Ge (0.0000, 0.5000, 0.0000)  2 Au 2.53
Zn (0.5000, 0.5000, 0.5000)  12 Ge 3.58
Au (0.0000, 0.0000, 0.0000)  6 Ge 2.53

[4]
## Ba2TaZn (PBE)

Data for crystalline Ba2TaZn at its relaxed geometry.

Properties
- Size of the total moment: 0.00 μB/atom
- Electronic total energy: -3.49 eV per atom

Lattice parameters (Å, degrees): 3.5012 3.5036 10.6011 70.64 90.00 90.00
With the nearest neighbours (Å) after each atom.
Sites, in units of the cell vectors:
Ba (0.0000, 0.4945, 0.5047)  4 Zn 3.48-3.49, 4 Ba 3.50, 4 Ta 3.55
Ba (0.0000, 0.0055, 0.9953)  4 Zn 3.48-3.49, 4 Ba 3.50, 4 Ta 3.55
Ta (0.5000, 0.2500, 0.2500)  4 Ta 3.50, 8 Ba 3.55
Zn (0.5000, 0.7500, 0.7500)  8 Ba 3.48-3.49, 4 Zn 3.50

[5]
## PrDyTm2S4 (PBE)

Data for crystalline PrDyTm2S4 at its relaxed geometry.

Properties
- Size of the total moment: 0.00 μB/atom
- Formation energy from raw total energies: -1.964 eV/atom
- Electronic total energy: -6.32 eV per atom

Lattice parameters (Å, degrees): 3.8647 6.9157 6.7640 71.32 90.00 90.00
With the nearest neighbours (Å) after each atom.
Sites, in units of the cell vectors:
S (0.5000, 0.7630, 0.2529)  3 Tm 2.69-2.75, 2 Dy 2.81, 1 Pr 2.87
S (0.0000, 0.2312, 0.2639)  3 Tm 2.68-2.75, 1 Dy 2.81, 2 Pr 2.87
S (0.5000, 0.2370, 0.7471)  3 Tm 2.69-2.75, 2 Dy 2.81, 1 Pr 2.87
S (0.0000, 0.7688, 0.7361)  3 Tm 2.68-2.75, 1 Dy 2.81, 2 Pr 2.87
Tm (0.0000, 0.0000, 0.0000)  6 S 2.75
Tm (0.5000, 0.0000, 0.5000)  6 S 2.68-2.69
Pr (0.5000, 0.5000, 0.0000)  6 S 2.87
Dy (0.0000, 0.5000, 0.5000)  6 S 2.81

[6]
## NbGaPd2Rh (PBE)

Data for crystalline NbGaPd2Rh at its relaxed geometry.

Properties
- Size of the total moment: 0.13 μB/atom
- Electronic total energy: -5.28 eV per atom

Lattice parameters (Å, degrees): 4.9204 4.5924 4.9204 90.00 90.00 90.00
With the nearest neighbours (Å) after each atom.
Sites, in units of the cell vectors:
Ga (0.5000, 0.5000, 0.5000)  8 Pd 3.37, 4 Nb 3.48
Rh (0.0000, 0.0000, 0.0000)  2 Nb 2.30, 4 Pd 2.46
Pd (0.0000, 0.0000, 0.5000)  2 Rh 2.46
Pd (0.5000, 0.0000, 0.0000)  2 Rh 2.46
Nb (0.0000, 0.5000, 0.0000)  2 Rh 2.30

[7]
## CaPm2In (PBE)

Data for crystalline CaPm2In at its relaxed geometry.

Properties
- Size of the total moment: 0.00 μB/atom
- Electronic total energy: -3.55 eV per atom

Lattice parameters (Å, degrees): 3.6424 3.6424 12.3193 81.50 81.50 60.00
With the nearest neighbours (Å) after each atom.
Sites, in units of the cell vectors:
In (0.5000, 0.5000, 0.5000)  6 Pm 3.28, 6 In 3.64
Ca (0.0000, 0.0000, 0.0000)  2 Pm 3.55, 6 Ca 3.64
Pm (0.0976, 0.0976, 0.7073)  3 In 3.28, 1 Ca 3.55, 6 Pm 3.64
Pm (0.9024, 0.9024, 0.2927)  3 In 3.28, 1 Ca 3.55, 6 Pm 3.64

[8]
## InHg2Cl (PBE)

Data for crystalline InHg2Cl at its relaxed geometry.

Properties
- Size of the total moment: 0.00 μB/atom
- Formation energy from raw total energies: -0.244 eV/atom
- Electronic total energy: -1.54 eV per atom

Lattice parameters (Å, degrees): 7.7643 7.7643 7.7643 32.29 32.29 32.29
With the nearest neighbours (Å) after each atom.
Sites, in units of the cell vectors:
In (0.2500, 0.2500, 0.2500)  6 Hg 3.10
Hg (0.5000, 0.5000, 0.5000)  3 In 3.10, 3 Cl 3.10
Hg (0.0000, 0.0000, 0.0000)  3 In 3.10, 3 Cl 3.10
Cl (0.7500, 0.7500, 0.7500)  6 Hg 3.10

[9]
## HfMg3Ir4 (PBE)

Data for crystalline HfMg3Ir4 at its relaxed geometry.

Properties
- Size of the total moment: 0.00 μB/atom
- Electronic total energy: -6.87 eV per atom

Lattice parameters (Å, degrees): 4.4587 6.3188 8.9180 90.00 90.00 90.00
With the nearest neighbours (Å) after each atom.
Sites, in units of the cell vectors:
Ir (0.5000, 0.2466, 0.0000)  6 Mg 2.72-2.75, 2 Hf 2.74
Ir (0.0000, 0.7535, 0.2500)  6 Mg 2.72-2.75, 2 Hf 2.75
Ir (0.5000, 0.7534, 0.0000)  6 Mg 2.72-2.75, 2 Hf 2.74
Ir (0.5000, 0.7534, 0.5000)  6 Mg 2.72-2.75, 2 Hf 2.74
Ir (0.0000, 0.2465, 0.2500)  6 Mg 2.72-2.75, 2 Hf 2.75
Ir (0.0000, 0.7535, 0.7500)  6 Mg 2.72-2.75, 2 Hf 2.75
Ir (0.0000, 0.2465, 0.7500)  6 Mg 2.72-2.75, 2 Hf 2.75
Ir (0.5000, 0.2466, 0.5000)  6 Mg 2.72-2.75, 2 Hf 2.74
Mg (0.4999, 0.0000, 0.2500)  8 Ir 2.72
Mg (0.5001, 0.0000, 0.7500)  8 Ir 2.72
Mg (0.0000, 0.0000, 0.0000)  8 Ir 2.72
Mg (0.0000, 0.0000, 0.5000)  8 Ir 2.72
Mg (0.4999, 0.5000, 0.7500)  8 Ir 2.74-2.75
Mg (0.5001, 0.5000, 0.2500)  8 Ir 2.74-2.75
Hf (0.0000, 0.5000, 0.0000)  8 Ir 2.74-2.75
Hf (0.0000, 0.5000, 0.5000)  8 Ir 2.74-2.75

[10]
## Nd2SiPRh6 (PBE)

Data for crystalline Nd2SiPRh6 at its relaxed geometry.

Properties
- Size of the total moment: 0.00 μB/atom
- Formation energy from raw total energies: -0.713 eV/atom
- Electronic total energy: -7.16 eV per atom

Lattice parameters (Å, degrees): 5.7740 7.3261 8.6570 90.00 90.00 90.00
With the nearest neighbours (Å) after each atom.
Sites, in units of the cell vectors:
Nd (0.5000, 0.7214, 0.2714)  9 Rh 3.00-3.25
Nd (0.0000, 0.2786, 0.7714)  9 Rh 3.00-3.25
Nd (0.5000, 0.7214, 0.7286)  9 Rh 3.00-3.25
Nd (0.0000, 0.2786, 0.2286)  9 Rh 3.00-3.25
Rh (0.5000, 0.1305, 0.2482)  1 P 2.31, 1 Si 2.40
Rh (0.2600, 0.5389, 0.0000)  1 P 2.24, 1 Si 2.37
Rh (0.0000, 0.8695, 0.2518)  1 P 2.31, 1 Si 2.40
Rh (0.2643, 0.9945, 0.0000)  1 P 2.26, 1 Si 2.48
Rh (0.7600, 0.4611, 0.5000)  1 P 2.24, 1 Si 2.37
Rh (0.7357, 0.9945, 0.0000)  1 P 2.26, 1 Si 2.48
Rh (0.2357, 0.0055, 0.5000)  1 P 2.26, 1 Si 2.48
Rh (0.7643, 0.0055, 0.5000)  1 P 2.26, 1 Si 2.48
Rh (0.7400, 0.5389, 0.0000)  1 P 2.24, 1 Si 2.37
Rh (0.0000, 0.8695, 0.7482)  1 P 2.31, 1 Si 2.40
Rh (0.5000, 0.1305, 0.7518)  1 P 2.31, 1 Si 2.40
Rh (0.2400, 0.4611, 0.5000)  1 P 2.24, 1 Si 2.37
Si (0.5000, 0.2767, 0.0000)  6 Rh 2.37-2.48
Si (0.0000, 0.7233, 0.5000)  6 Rh 2.37-2.48
P (0.5000, 0.2339, 0.5000)  6 Rh 2.24-2.31
P (0.0000, 0.7661, 0.0000)  6 Rh 2.24-2.31

[11]
## TbPuMgIr (PBE)

Data for crystalline TbPuMgIr at its relaxed geometry.

Properties
- Size of the total moment: 1.31 μB/atom
- Electronic total energy: -7.60 eV per atom

Lattice parameters (Å, degrees): 5.0237 5.0237 5.0237 60.00 60.00 60.00
With the nearest neighbours (Å) after each atom.
Sites, in units of the cell vectors:
Mg (0.0000, 0.0000, 0.0000)  4 Tb 3.08, 4 Pu 3.08
Tb (0.7500, 0.7500, 0.7500)  4 Mg 3.08, 4 Ir 3.08
Ir (0.5000, 0.5000, 0.5000)  4 Pu 3.08, 4 Tb 3.08
Pu (0.2500, 0.2500, 0.2500)  4 Mg 3.08, 4 Ir 3.08

[12]
## Tb2HoIn9 (PBE)

Data for crystalline Tb2HoIn9 at its relaxed geometry.

Properties
- Size of the total moment: 0.00 μB/atom
- Electronic total energy: -3.63 eV per atom

Lattice parameters (Å, degrees): 4.6410 4.6410 13.9161 90.00 90.00 90.00
With the nearest neighbours (Å) after each atom.
Sites, in units of the cell vectors:
In (0.5000, 0.0000, 0.5000)  8 In 3.28, 4 Tb 3.28
In (0.5000, 0.0000, 0.1659)  8 In 3.27-3.29, 2 Ho 3.27, 2 Tb 3.29
In (0.0000, 0.5000, 0.8341)  2 Ho 3.27, 8 In 3.27-3.29, 2 Tb 3.29
In (0.5000, 0.5000, 0.6668)  4 Tb 3.28, 8 In 3.28-3.29
In (0.5000, 0.5000, 0.0000)  8 In 3.27, 4 Ho 3.28
In (0.0000, 0.5000, 0.5000)  8 In 3.28, 4 Tb 3.28
In (0.5000, 0.5000, 0.3332)  4 Tb 3.28, 8 In 3.28-3.29
In (0.0000, 0.5000, 0.1659)  2 Ho 3.27, 8 In 3.27-3.29, 2 Tb 3.29
In (0.5000, 0.0000, 0.8341)  8 In 3.27-3.29, 2 Ho 3.27, 2 Tb 3.29
Tb (0.0000, 0.0000, 0.3331)  12 In 3.28-3.29
Tb (0.0000, 0.0000, 0.6669)  12 In 3.28-3.29
Ho (0.0000, 0.0000, 0.0000)  12 In 3.27-3.28